(1)
Crystalline MnReOs at its relaxed geometry. Source: the Alexandria database, functional PBE.

## Properties
Total moment   0.00 μB per formula unit
Volume   183.13 Å³/cell
Formation energy   589 meV/atom

The structure in CIF format:
```
data_MnReOs
_chemical_formula_sum 'Mn4 Re4 Os4'
_space_group_name_H-M_alt 'F -4 3 m'
_space_group_IT_number 216
_space_group_name_Hall 'F -4 2 3'
_cell_length_a 5.679
_cell_length_b 5.679
_cell_length_c 5.679
_cell_angle_alpha 90.00
_cell_angle_beta 90.00
_cell_angle_gamma 90.00
loop_
_atom_site_label
_atom_site_type_symbol
_atom_site_fract_x
_atom_site_fract_y
_atom_site_fract_z
Mn1 Mn 0.000 0.000 0.000
Re1 Re 0.250 0.250 0.250
Os1 Os 0.250 0.250 0.750
```



(2)
Crystalline Na4Tm3NpO8 at its relaxed geometry. Source: the Alexandria database, functional PBE.

## Properties
Total moment   3.98 μB per formula unit
Volume   673.58 Å³/cell
Formation energy from raw total energies   -2.6795 eV/atom

The structure in CIF format:
```
data_Na4Tm3NpO8
_chemical_formula_sum 'Na12 Tm9 Np3 O24'
_space_group_name_H-M_alt 'R -3 m'
_space_group_IT_number 166
_space_group_name_Hall '-R 3 2"'
_cell_length_a 6.8021
_cell_length_b 6.8021
_cell_length_c 16.8105
_cell_angle_alpha 90.00
_cell_angle_beta 90.00
_cell_angle_gamma 120.00
loop_
_atom_site_label
_atom_site_type_symbol
_atom_site_fract_x
_atom_site_fract_y
_atom_site_fract_z
Na1 Na 0.0000 0.0000 0.0000
Na2 Na 0.0000 0.5000 0.0000
Tm1 Tm 0.0000 0.5000 0.5000
Np1 Np 0.0000 0.0000 0.5000
O1 O 0.0000 0.0000 0.2358
O2 O 0.0077 0.5039 0.7626
```



(3)
Crystalline RbAgIF6 at its relaxed geometry. Source: the Alexandria database, functional PBE.

## Properties
Total moment   0.00 μB per formula unit
Volume   169.43 Å³/cell
Formation energy from raw total energies   -1.6300 eV/atom

The structure in CIF format:
```
data_RbAgIF6
_chemical_formula_sum 'Rb1 Ag1 I1 F6'
_space_group_name_H-M_alt 'P 1'
_space_group_IT_number 1
_space_group_name_Hall 'P 1'
_cell_length_a 5.179
_cell_length_b 5.733
_cell_length_c 5.999
_cell_angle_alpha 81.44
_cell_angle_beta 87.72
_cell_angle_gamma 74.14
loop_
_atom_site_label
_atom_site_type_symbol
_atom_site_fract_x
_atom_site_fract_y
_atom_site_fract_z
Rb1 Rb 0.000 0.000 0.000
Ag1 Ag 0.691 0.640 0.533
I1 I 0.406 0.301 0.467
F1 F 0.070 0.447 0.707
F2 F 0.077 0.540 0.278
F3 F 0.370 0.920 0.370
F4 F 0.472 0.075 0.780
F5 F 0.547 0.371 0.155
F6 F 0.793 0.082 0.473
```



(4)
Crystalline AuBr2Cl at its relaxed geometry. Source: the Alexandria database, functional PBE.

## Properties
Total moment   0.00 μB per formula unit
Volume   431.16 Å³/cell
Formation energy from raw total energies   0.2256 eV/atom

The structure in CIF format:
```
data_AuBr2Cl
_chemical_formula_sum 'Au4 Br8 Cl4'
_space_group_name_H-M_alt 'I -4 2 d'
_space_group_IT_number 122
_space_group_name_Hall 'I -4 2bw'
_cell_length_a 8.116
_cell_length_b 8.116
_cell_length_c 6.546
_cell_angle_alpha 90.00
_cell_angle_beta 90.00
_cell_angle_gamma 90.00
loop_
_atom_site_label
_atom_site_type_symbol
_atom_site_fract_x
_atom_site_fract_y
_atom_site_fract_z
Au1 Au 0.000 0.000 0.000
Br1 Br 0.169 0.250 0.125
Cl1 Cl 0.000 0.000 0.500
```



(5)
Crystalline Ba2MoI at its relaxed geometry. Source: the Alexandria database, functional PBE.

## Properties
Total moment   3.38 μB per formula unit
Volume   616.51 Å³/cell
Formation energy from raw total energies   0.3823 eV/atom

The structure in CIF format:
```
data_Ba2MoI
_chemical_formula_sum 'Ba8 Mo4 I4'
_space_group_name_H-M_alt 'F m -3 m'
_space_group_IT_number 225
_space_group_name_Hall '-F 4 2 3'
_cell_length_a 8.511
_cell_length_b 8.511
_cell_length_c 8.511
_cell_angle_alpha 90.00
_cell_angle_beta 90.00
_cell_angle_gamma 90.00
loop_
_atom_site_label
_atom_site_type_symbol
_atom_site_fract_x
_atom_site_fract_y
_atom_site_fract_z
Ba1 Ba 0.250 0.250 0.250
Mo1 Mo 0.000 0.000 0.000
I1 I 0.000 0.000 0.500
```



(6)
Crystalline Cr2InGa at its relaxed geometry. Source: the Alexandria database, functional PBE.

## Properties
Total moment   6.73 μB per formula unit
Volume   301.97 Å³/cell
Formation energy   668 meV/atom

The structure in CIF format:
```
data_Cr2InGa
_chemical_formula_sum 'Cr8 In4 Ga4'
_space_group_name_H-M_alt 'I -4 2 d'
_space_group_IT_number 122
_space_group_name_Hall 'I -4 2bw'
_cell_length_a 7.192
_cell_length_b 7.192
_cell_length_c 5.837
_cell_angle_alpha 90.00
_cell_angle_beta 90.00
_cell_angle_gamma 90.00
loop_
_atom_site_label
_atom_site_type_symbol
_atom_site_fract_x
_atom_site_fract_y
_atom_site_fract_z
Cr1 Cr 0.221 0.750 0.125
In1 In 0.000 0.000 0.500
Ga1 Ga 0.000 0.000 0.000
```